Computed, not measured: a relaxed structure of Cs3PmPr2O6 at the PBE level of DFT.

Properties
formation energy (no corrections) = -2.498 eV/atom
calculated density = 6.1 Mg/m³
calculated total energy = -6.383 eV per atom
crystal system = monoclinic
magnetic moment = 0.000 μB per formula unit

a b c (Å): 6.4398 6.4398 7.2829
angles (deg): 98.47 98.47 120.00
Last column: nearest neighbours and their distance in Å.
Fractional coordinates of all 12 atoms:
Cs  0.1663  0.8337  0.5000  6 O 3.13-3.16
Cs  0.8337  0.1663  0.5000  6 O 3.13-3.16
Cs  0.5000  0.5000  0.5000  6 O 3.13-3.16
Pm  0.0000  0.0000  0.0000  6 O 2.43
Pr  0.3333  0.6667  0.0000  6 O 2.46
Pr  0.6667  0.3333  0.0000  6 O 2.46
O  0.9433  0.6143  0.8300  1 Pm 2.43, 2 Pr 2.46
O  0.7277  0.7277  0.1702  1 Pm 2.43, 2 Pr 2.46
O  0.0567  0.3857  0.1700  1 Pm 2.43, 2 Pr 2.46
O  0.6143  0.9433  0.8300  1 Pm 2.43, 2 Pr 2.46
O  0.2723  0.2723  0.8298  1 Pm 2.43, 2 Pr 2.46
O  0.3857  0.0567  0.1700  1 Pm 2.43, 2 Pr 2.46